DFT (PBE-GGA) results for a geometry-optimized PmZn structure.

Computed properties:
volume: 191.7 Å³ per cell
mass density: 7.3 g cm⁻³
E: -3.279 eV per atom
energy of formation: -274 meV per atom

The structure in POSCAR format:
```
PmZn
1.0
-4.244 0.984 -4.695
4.465 -1.216 -4.291
-1.165 -4.596 0.090
Zn Pm
4 4
direct
0.356 0.494 0.500 Zn
0.977 0.994 0.000 Zn
0.477 0.256 0.000 Zn
0.856 0.756 0.500 Zn
0.270 0.012 0.500 Pm
0.563 0.738 0.000 Pm
0.770 0.238 0.500 Pm
0.063 0.512 0.000 Pm
```

***

DFT (PBE-GGA) results for a geometry-optimized PmZn3 structure.

Computed properties:
volume: 153.7 Å³ per cell
mass density: 7.4 g cm⁻³
E: -2.484 eV per atom
energy of formation: -349 meV per atom

The structure in POSCAR format:
```
PmZn3
1.0
2.262 -5.140 0.000
2.262 5.140 0.000
0.000 0.000 6.608
Pm Zn
2 6
direct
0.098 0.902 0.750 Pm
0.902 0.098 0.250 Pm
0.380 0.620 0.941 Zn
0.798 0.202 0.750 Zn
0.620 0.380 0.059 Zn
0.202 0.798 0.250 Zn
0.380 0.620 0.559 Zn
0.620 0.380 0.441 Zn
```

***

DFT (PBE-GGA) results for a geometry-optimized PmZn structure.

Computed properties:
volume: 56.1 Å³ per cell
mass density: 6.2 g cm⁻³
E: -3.026 eV per atom
energy of formation: -21 meV per atom

The structure in POSCAR format:
```
PmZn
1.0
2.892 -1.782 2.633
-0.251 0.671 4.237
-1.163 -3.204 2.617
Zn Pm
1 1
direct
0.500 0.500 0.500 Zn
0.000 0.000 0.000 Pm
```

***

DFT (PBE-GGA) results for a geometry-optimized PmZn structure.

Computed properties:
volume: 290.4 Å³ per cell
mass density: 7.2 g cm⁻³
E: -3.218 eV per atom
energy of formation: -213 meV per atom

The structure in POSCAR format:
```
PmZn
1.0
7.027 -1.660 0.000
0.300 7.981 0.000
0.000 0.000 5.132
Zn Pm
6 6
direct
0.956 0.527 0.000 Zn
0.545 0.582 0.000 Zn
0.932 0.194 0.500 Zn
0.837 0.855 0.000 Zn
0.052 0.868 0.500 Zn
0.344 0.141 0.500 Zn
0.277 0.821 0.000 Pm
0.628 0.205 0.000 Pm
0.746 0.508 0.500 Pm
0.611 0.901 0.500 Pm
0.260 0.517 0.500 Pm
0.143 0.214 0.000 Pm
```

***

DFT (PBE-GGA) results for a geometry-optimized PmZn3 structure.

Computed properties:
volume: 156.3 Å³ per cell
mass density: 7.3 g cm⁻³
E: -2.449 eV per atom
energy of formation: -314 meV per atom

The structure in POSCAR format:
```
PmZn3
1.0
-1.558 3.254 -5.459
-1.411 -6.091 0.693
-3.919 1.110 1.780
Zn Pm
6 2
direct
0.541 0.173 0.000 Zn
0.292 0.494 0.500 Zn
0.702 0.494 0.500 Zn
0.572 0.643 0.000 Zn
0.262 0.023 0.500 Zn
0.132 0.173 0.000 Zn
0.764 0.028 0.500 Pm
0.070 0.639 0.000 Pm
```

***

DFT (PBE-GGA) results for a geometry-optimized PmZn structure.

Computed properties:
volume: 285.9 Å³ per cell
mass density: 7.3 g cm⁻³
E: -3.179 eV per atom
energy of formation: -174 meV per atom

The structure in POSCAR format:
```
PmZn
1.0
7.958 -1.275 0.000
0.450 7.429 0.000
0.000 0.000 4.789
Zn Pm
6 6
direct
0.520 0.041 0.500 Zn
0.031 0.039 0.000 Zn
0.191 0.017 0.500 Zn
0.596 0.455 0.500 Zn
0.626 0.601 0.000 Zn
0.702 0.014 0.000 Zn
0.837 0.793 0.500 Pm
0.978 0.513 0.000 Pm
0.385 0.262 0.000 Pm
0.244 0.543 0.500 Pm
0.349 0.832 0.000 Pm
0.873 0.224 0.500 Pm
```

***

DFT (PBE-GGA) results for a geometry-optimized Pm3Zn4 structure.

Computed properties:
volume: 329.8 Å³ per cell
mass density: 7.0 g cm⁻³
E: -2.827 eV per atom
energy above the lowest structure with this stoichiometry: 11.4 kJ per mole of atoms
energy of formation: -71 meV per atom

The structure in POSCAR format:
```
Pm3Zn4
1.0
-8.247 1.141 -2.089
-2.577 -1.182 -8.104
-0.948 -4.975 1.027
Pm Zn
6 8
direct
0.391 0.909 0.000 Pm
0.767 0.414 0.000 Pm
0.681 0.704 0.500 Pm
0.561 0.329 0.500 Pm
0.271 0.534 0.000 Pm
0.186 0.824 0.500 Pm
0.143 0.285 0.000 Zn
0.601 0.115 0.000 Zn
0.809 0.952 0.500 Zn
0.856 0.744 0.000 Zn
0.981 0.239 0.500 Zn
0.096 0.494 0.500 Zn
0.352 0.124 0.500 Zn
0.971 0.999 0.000 Zn
```

***

DFT (PBE-GGA) results for a geometry-optimized Pm3Zn4 structure.

Computed properties:
volume: 326.2 Å³ per cell
mass density: 7.1 g cm⁻³
E: -2.945 eV per atom
energy above the lowest structure with this stoichiometry: 0.0 kJ per mole of atoms
energy of formation: -189 meV per atom

The structure in POSCAR format:
```
Pm3Zn4
1.0
5.917 6.833 0.000
-2.957 8.540 0.000
0.000 0.000 4.611
Pm Zn
6 8
direct
0.421 0.093 0.500 Pm
0.200 0.850 0.500 Pm
0.859 0.752 0.000 Pm
0.664 0.628 0.500 Pm
0.102 0.288 0.000 Pm
0.324 0.531 0.000 Pm
0.565 0.353 0.500 Zn
0.599 0.156 0.000 Zn
0.959 0.028 0.000 Zn
0.429 0.857 0.000 Zn
0.924 0.225 0.500 Zn
0.095 0.524 0.500 Zn
0.796 0.993 0.500 Zn
0.727 0.388 0.000 Zn
```

***

DFT (PBE-GGA) results for a geometry-optimized PmZn structure.

Computed properties:
volume: 51.8 Å³ per cell
mass density: 6.7 g cm⁻³
E: -3.049 eV per atom
energy of formation: -44 meV per atom

The structure in POSCAR format:
```
PmZn
1.0
-1.228 3.282 0.645
-2.279 -2.655 -0.675
-0.215 -0.985 4.601
Zn Pm
1 1
direct
0.667 0.333 0.500 Zn
0.000 0.000 0.000 Pm
```

***

DFT (PBE-GGA) results for a geometry-optimized PmZn12 structure.

Computed properties:
volume: 205.8 Å³ per cell
mass density: 7.5 g cm⁻³
E: -1.729 eV per atom
energy of formation: -196 meV per atom

The structure in POSCAR format:
```
PmZn12
1.0
-4.427 4.427 2.626
4.427 -4.427 2.626
4.427 4.427 -2.626
Pm Zn
1 12
direct
0.000 0.000 0.000 Pm
0.355 0.000 0.355 Zn
0.000 0.645 0.645 Zn
0.500 0.000 0.000 Zn
0.000 0.000 0.500 Zn
0.000 0.355 0.355 Zn
0.500 0.500 0.500 Zn
0.281 0.500 0.781 Zn
0.500 0.719 0.219 Zn
0.719 0.500 0.219 Zn
0.645 0.000 0.645 Zn
0.000 0.500 0.000 Zn
0.500 0.281 0.781 Zn
```

***

DFT (PBE-GGA) results for a geometry-optimized PmZn structure.

Computed properties:
volume: 203.7 Å³ per cell
mass density: 6.9 g cm⁻³
E: -3.121 eV per atom
energy of formation: -116 meV per atom

The structure in POSCAR format:
```
PmZn
1.0
-3.278 2.700 3.516
-5.404 -2.470 -3.141
0.030 -4.345 3.366
Zn Pm
4 4
direct
0.418 0.003 0.500 Zn
0.918 0.247 0.500 Zn
0.416 0.247 0.000 Zn
0.916 0.003 0.000 Zn
0.416 0.795 0.000 Pm
0.916 0.455 0.000 Pm
0.917 0.795 0.500 Pm
0.417 0.455 0.500 Pm
```

***

DFT (PBE-GGA) results for a geometry-optimized PmZn structure.

Computed properties:
volume: 244.2 Å³ per cell
mass density: 7.2 g cm⁻³
E: -3.105 eV per atom
energy of formation: -100 meV per atom

The structure in POSCAR format:
```
PmZn
1.0
-0.529 -2.254 5.196
7.086 1.537 4.499
-2.113 4.569 1.767
Zn Pm
5 5
direct
0.009 0.998 0.000 Zn
0.053 0.209 0.500 Zn
0.662 0.991 0.500 Zn
0.408 0.201 0.000 Zn
0.850 0.600 0.500 Zn
0.194 0.600 0.000 Pm
0.627 0.827 0.000 Pm
0.458 0.363 0.500 Pm
0.221 0.837 0.500 Pm
0.853 0.373 0.000 Pm
```

***

DFT (PBE-GGA) results for a geometry-optimized PmZn structure.

Computed properties:
volume: 71.1 Å³ per cell
mass density: 4.9 g cm⁻³
E: -2.420 eV per atom
energy of formation: 585 meV per atom

The structure in POSCAR format:
```
PmZn
1.0
-1.782 -3.186 2.882
-4.546 -0.973 -0.133
-1.455 -4.090 -1.669
Zn Pm
1 1
direct
0.250 0.250 0.250 Zn
0.000 0.000 0.000 Pm
```

***

DFT (PBE-GGA) results for a geometry-optimized PmZn structure.

Computed properties:
volume: 560.1 Å³ per cell
mass density: 7.5 g cm⁻³
E: -3.111 eV per atom
energy of formation: -106 meV per atom

The structure in POSCAR format:
```
PmZn
1.0
16.461 -0.006 0.000
-0.002 7.451 0.000
0.000 0.000 4.567
Zn Pm
12 12
direct
0.588 0.624 0.500 Zn
0.773 0.235 0.000 Zn
0.251 0.203 0.500 Zn
0.751 0.547 0.500 Zn
0.693 0.547 0.000 Zn
0.172 0.515 0.500 Zn
0.273 0.515 0.000 Zn
0.672 0.235 0.500 Zn
0.193 0.203 0.000 Zn
0.357 0.126 0.000 Zn
0.857 0.624 0.000 Zn
0.088 0.126 0.500 Zn
0.484 0.025 0.500 Pm
0.461 0.725 0.000 Pm
0.399 0.429 0.500 Pm
0.546 0.321 0.000 Pm
0.646 0.924 0.000 Pm
0.961 0.025 0.000 Pm
0.146 0.826 0.000 Pm
0.899 0.321 0.500 Pm
0.798 0.924 0.500 Pm
0.298 0.826 0.500 Pm
0.984 0.725 0.500 Pm
0.046 0.429 0.000 Pm
```

***

DFT (PBE-GGA) results for a geometry-optimized PmZn structure.

Computed properties:
volume: 189.9 Å³ per cell
mass density: 7.4 g cm⁻³
E: -3.076 eV per atom
energy of formation: -71 meV per atom

The structure in POSCAR format:
```
PmZn
1.0
5.363 0.000 0.000
0.000 7.515 0.000
0.000 0.000 4.713
Zn Pm
4 4
direct
0.361 0.500 0.500 Zn
0.071 0.500 0.000 Zn
0.442 0.722 0.000 Zn
0.442 0.278 0.000 Zn
0.860 0.299 0.500 Pm
0.393 0.000 0.500 Pm
0.906 0.000 0.000 Pm
0.860 0.701 0.500 Pm
```

***

DFT (PBE-GGA) results for a geometry-optimized PmZn structure.

Computed properties:
volume: 291.5 Å³ per cell
mass density: 7.2 g cm⁻³
E: -3.177 eV per atom
energy of formation: -172 meV per atom

The structure in POSCAR format:
```
PmZn
1.0
-5.354 1.941 -1.667
-4.538 -6.472 7.036
0.212 3.344 3.212
Pm Zn
6 6
direct
0.498 0.004 0.500 Pm
0.514 0.242 0.000 Pm
0.767 0.476 0.500 Pm
0.267 0.690 0.500 Pm
0.998 0.163 0.500 Pm
0.014 0.925 0.000 Pm
0.530 0.796 0.000 Zn
0.903 0.642 0.000 Zn
0.787 0.775 0.500 Zn
0.030 0.371 0.000 Zn
0.287 0.391 0.500 Zn
0.403 0.525 0.000 Zn
```

***

DFT (PBE-GGA) results for a geometry-optimized PmZrZn structure.

Computed properties:
volume: 81.9 Å³ per cell
mass density: 6.1 g cm⁻³
E: -3.951 eV per atom
energy above the lowest structure with this stoichiometry: 64.8 kJ per mole of atoms
energy of formation: 902 meV per atom

The structure in POSCAR format:
```
PmZrZn
1.0
-4.795 -0.777 -0.406
-3.080 2.064 3.163
-2.938 3.605 -1.459
Zr Pm Zn
1 1 1
direct
0.750 0.750 0.750 Zr
0.000 0.000 0.000 Pm
0.250 0.250 0.250 Zn
```

***

DFT (PBE-GGA) results for a geometry-optimized PmZrZn structure.

Computed properties:
volume: 78.1 Å³ per cell
mass density: 6.4 g cm⁻³
E: -4.622 eV per atom
energy above the lowest structure with this stoichiometry: 0.0 kJ per mole of atoms
energy of formation: 231 meV per atom

The structure in POSCAR format:
```
PmZrZn
1.0
0.000 3.393 3.393
3.393 0.000 3.393
3.393 3.393 0.000
Zr Pm Zn
1 1 1
direct
0.750 0.750 0.750 Zr
0.250 0.250 0.250 Pm
0.000 0.000 0.000 Zn
```

***

DFT (PBE-GGA) results for a geometry-optimized PmZr2 structure.

Computed properties:
volume: 314.8 Å³ per cell
mass density: 6.9 g cm⁻³
E: -7.154 eV per atom
energy above the lowest structure with this stoichiometry: 4.3 kJ per mole of atoms
energy of formation: 126 meV per atom

The structure in POSCAR format:
```
PmZr2
1.0
5.844 0.000 0.000
0.000 10.044 0.000
0.000 0.000 5.363
Zr Pm
8 4
direct
0.482 0.491 0.000 Zr
0.019 0.333 0.000 Zr
0.482 0.176 0.000 Zr
0.814 0.833 0.500 Zr
0.352 0.991 0.500 Zr
0.352 0.676 0.500 Zr
0.325 0.333 0.500 Zr
0.508 0.833 0.000 Zr
0.007 0.669 0.000 Pm
0.826 0.497 0.500 Pm
0.007 0.997 0.000 Pm
0.826 0.169 0.500 Pm
```

***

DFT (PBE-GGA) results for a geometry-optimized PmZr2 structure.

Computed properties:
volume: 87.2 Å³ per cell
mass density: 6.2 g cm⁻³
E: -6.177 eV per atom
energy above the lowest structure with this stoichiometry: 98.5 kJ per mole of atoms
energy of formation: 1102 meV per atom

The structure in POSCAR format:
```
PmZr2
1.0
-3.498 0.230 3.534
-3.296 3.729 0.000
-4.761 -0.887 -1.149
Zr Pm
2 1
direct
0.750 0.750 0.750 Zr
0.250 0.250 0.250 Zr
0.000 0.000 0.000 Pm
```